No. 1
A plane-wave DFT calculation with PBE was carried out for a relaxed CuOsPdAu2 crystal.

a b c (Å): 4.6760 4.5547 4.6760
angles (deg): 90.00 90.00 90.00
With the nearest neighbours (Å) after each atom.
Sites, in units of the cell vectors:
1 Au 0.5000 0.0000 0.0000  2 Cu 2.34
2 Os 0.0000 0.5000 0.0000  2 Cu 2.28
3 Au 0.0000 0.0000 0.5000  2 Cu 2.34
4 Cu 0.0000 0.0000 0.0000  2 Os 2.28, 4 Au 2.34
5 Pd 0.5000 0.5000 0.5000  8 Au 3.26, 4 Os 3.31

Total magnetization, μB/f.u.: 2.7
Formation energy, kJ per mole of atoms: 129
Total DFT energy (no corrections), eV for the cell shown: -20.37


No. 2
A plane-wave DFT calculation with PBE was carried out for a relaxed Pr4NdY crystal.

a b c (Å): 3.5206 6.2573 10.4055
angles (deg): 88.41 80.26 73.66
With the nearest neighbours (Å) after each atom.
Sites, in units of the cell vectors:
1 Nd 0.5000 0.5000 0.5000  2 Nd 3.52, 8 Pr 3.55-3.71
2 Pr 0.8453 0.9667 0.3426  6 Pr 3.52-3.69, 1 Y 3.52, 3 Nd 3.56-3.71
3 Pr 0.3436 0.4673 0.8456  6 Pr 3.52-3.66, 3 Y 3.54-3.70, 1 Nd 3.55
4 Pr 0.1547 0.0333 0.6574  6 Pr 3.52-3.69, 1 Y 3.52, 3 Nd 3.56-3.71
5 Y 0.0000 0.0000 0.0000  2 Y 3.52, 8 Pr 3.52-3.70
6 Pr 0.6564 0.5327 0.1544  6 Pr 3.52-3.66, 3 Y 3.54-3.70, 1 Nd 3.55

E above lowest polymorph, meV/atom: 154.0
Total magnetization, μB/f.u.: 0.0
Formation energy, kJ per mole of atoms: 16
Total DFT energy (no corrections), eV for the cell shown: -29.34


No. 3
A plane-wave DFT calculation with PBE was carried out for a relaxed Sc2InTe crystal.

a b c (Å): 5.1609 5.1609 3.6186
angles (deg): 90.00 90.00 102.24
With the nearest neighbours (Å) after each atom.
Sites, in units of the cell vectors:
1 In 0.0000 0.5000 0.5000  8 Sc 3.15, 2 Te 3.24
2 Te 0.5000 0.0000 0.5000  8 Sc 3.15, 2 In 3.24
3 Sc 0.0000 0.0000 0.0000  4 Te 3.15, 4 In 3.15, 2 Sc 3.24
4 Sc 0.5000 0.5000 0.0000  4 In 3.15, 4 Te 3.15, 2 Sc 3.24

E above lowest polymorph, meV/atom: 147.0
Total magnetization, μB/f.u.: 0.0
Total DFT energy (no corrections), eV for the cell shown: -20.70
Formation energy without anion corrections, eV per atom: -0.540